Record 1
ZrIn2Ni | PBE-GGA | optimized geometry

```
4
Lattice="-0.732 -4.737 3.253 1.806 -5.249 1.656 2.769 -0.269 4.487" Properties=species:S:1:pos:R:3 pbc="T T T"
In 1.130 -9.668 4.895
In 1.867 -5.445 4.712
Ni 0.961 -2.564 2.349
Zr 2.883 -7.691 7.047
```

Output
The formation energy comes out at -0.300 eV per formula unit. The symmetry is C2/m.


Record 2
ZrIn3Ni | PBE-GGA | optimized geometry

```
5
Lattice="5.548 0.000 0.000 0.000 5.548 0.000 0.000 0.000 5.548" Properties=species:S:1:pos:R:3 pbc="T T T"
Ni 2.774 2.774 2.774
Zr 0.000 0.000 0.000
In 0.000 2.774 0.000
In 0.000 0.000 2.774
In 2.774 0.000 0.000
```

Output
The formation energy comes out at 5.759 eV per formula unit. The symmetry is Pm-3m.


Record 3
NpIn3 | PBE-GGA | optimized geometry

```
4
Lattice="-2.288 -0.434 1.909 -2.065 -4.458 -3.489 5.233 -1.190 3.627" Properties=species:S:1:pos:R:3 pbc="T T T"
Np -0.038 -0.083 -0.065
In 0.901 -3.258 0.339
In -2.209 -2.516 -0.845
In 0.738 -1.185 2.991
```

Output
The formation energy comes out at 0.256 eV per formula unit. The symmetry is Imm2.


Record 4
NpIn3 | PBE-GGA | optimized geometry

```
4
Lattice="4.645 0.000 0.000 0.000 4.645 0.000 0.000 0.000 4.645" Properties=species:S:1:pos:R:3 pbc="T T T"
Np 0.000 0.000 0.000
In 0.000 2.322 2.322
In 2.322 0.000 2.322
In 2.322 2.322 0.000
```

Output
The formation energy comes out at -0.007 eV per formula unit. The symmetry is Pm-3m.


Record 5
NpIn3 | PBE-GGA | optimized geometry

```
4
Lattice="4.619 0.000 0.000 0.000 4.619 0.000 -2.310 -2.310 4.837" Properties=species:S:1:pos:R:3 pbc="T T T"
Np 0.000 0.000 0.000
In 2.310 0.000 2.418
In 0.000 2.310 2.418
In 2.310 2.310 0.000
```

Output
The formation energy comes out at 0.558 eV per formula unit. The symmetry is I4/mmm.


Record 6
NpIn6 | PBE-GGA | optimized geometry

```
7
Lattice="6.885 0.000 0.000 -2.295 6.492 0.000 -2.295 -3.246 5.622" Properties=species:S:1:pos:R:3 pbc="T T T"
Np 0.000 0.000 0.000
In -1.148 3.246 2.811
In 1.148 4.057 1.405
In -1.148 0.811 4.216
In 3.443 0.000 2.811
In 1.148 -0.811 4.216
In 3.443 2.434 1.405
```

Output
The formation energy comes out at 4.537 eV per formula unit. The symmetry is Im-3m.


Record 7
NpIn3 | PBE-GGA | optimized geometry

```
4
Lattice="2.984 0.000 0.000 0.000 5.620 0.000 0.000 0.000 6.045" Properties=species:S:1:pos:R:3 pbc="T T T"
Np 0.000 0.000 0.061
In 1.492 0.000 3.104
In 1.492 2.810 4.968
In 0.000 2.810 1.941
```

Output
The formation energy comes out at 0.467 eV per formula unit. The symmetry is Pmm2.


Record 8
Np2In | PBE-GGA | optimized geometry

```
6
Lattice="5.829 0.000 0.000 2.914 5.048 0.000 2.914 1.683 4.759" Properties=species:S:1:pos:R:3 pbc="T T T"
Np 4.372 4.207 2.975
Np 5.829 1.683 2.975
Np 7.286 4.207 2.975
Np 5.829 3.365 0.595
In 0.000 0.000 0.000
In 2.914 1.683 1.190
```

Output
The formation energy comes out at 1.087 eV per formula unit. The symmetry is Fd-3m.


Record 9
Np4In | PBE-GGA | optimized geometry

```
5
Lattice="-3.505 -2.977 -3.406 4.448 -3.052 -1.910 -0.823 -3.817 4.184" Properties=species:S:1:pos:R:3 pbc="T T T"
Np 0.000 0.000 0.000
Np -2.164 -3.397 0.389
Np 1.813 -3.435 1.137
Np 0.472 -3.015 -2.658
In 0.060 -4.923 -0.566
```

Output
The formation energy comes out at 8.876 eV per formula unit. The symmetry is Pm-3m.


Record 10
NpIn3O8 | PBE-GGA | optimized geometry

```
12
Lattice="-1.324 4.900 1.300 -2.550 0.518 -4.547 -4.381 -1.782 2.254" Properties=species:S:1:pos:R:3 pbc="T T T"
Np 0.000 0.000 0.000
In -1.937 2.709 -1.624
In -2.852 1.559 1.777
In -3.466 -0.632 -1.147
O -4.258 -0.034 0.918
O -3.316 1.149 -2.580
O -2.685 3.403 0.428
O -6.250 2.753 -0.752
O -3.997 3.669 -1.911
O -4.939 2.486 1.587
O -5.569 0.233 -1.421
O -2.005 0.883 -0.241
```

Output
The symmetry is Pm-3m.


Record 11
Np3In5O12 | PBE-GGA | optimized geometry

```
80
Lattice="-7.167 -8.964 -1.300 9.900 -2.151 -5.548 2.153 1.611 11.233" Properties=species:S:1:pos:R:3 pbc="T T T"
Np -1.394 -7.328 -1.651
Np 1.422 -9.255 -3.894
Np 6.082 -3.967 2.373
Np 0.253 -1.906 3.194
Np -4.496 -7.709 0.978
Np 4.038 -4.303 -1.146
Np 0.847 -5.200 5.532
Np 9.381 -1.794 3.408
Np 4.632 -7.598 1.192
Np -1.197 -5.536 2.013
Np 3.463 -0.248 8.279
Np 6.279 -2.175 6.037
In 3.355 -1.524 0.565
In 4.950 -1.075 -2.774
In 0.000 0.000 0.000
In 0.056 -3.698 -0.470
In -2.507 -3.676 4.967
In 1.366 -5.557 -3.424
In 7.336 -2.129 -0.111
In -2.255 -5.582 8.161
In 1.619 -7.463 -0.230
In 0.164 -2.422 7.244
In 4.721 -7.081 -2.858
In 2.442 -4.752 2.193
In -3.584 -4.482 -0.650
In 1.076 0.806 5.616
In 3.266 -2.040 4.615
In 7.140 -3.921 -3.775
In 6.026 -0.270 2.843
In -2.451 -7.374 4.496
In 4.829 -5.806 4.856
In 1.530 -7.979 3.820
O -3.734 -6.639 -1.173
O 3.925 -3.438 1.182
O -2.603 -8.906 -0.102
O -1.467 -5.127 -0.424
O 4.355 -5.697 2.824
O -0.656 -9.558 -2.564
O 6.304 -3.946 -0.103
O 8.713 -2.548 -3.708
O 6.698 -6.247 1.490
O 1.022 -7.403 -2.231
O -0.305 -7.409 0.583
O 3.191 -9.303 -5.640
O 7.319 -1.850 1.960
O 1.620 -4.046 -1.811
O 9.210 -2.126 -1.035
O -0.402 -3.060 5.336
O 1.573 -0.781 1.365
O 3.583 -5.394 -3.333
O 3.745 -8.925 -2.972
O 3.356 -1.936 -1.483
O 8.516 -4.091 3.015
O 2.935 -5.965 0.395
O 2.824 -9.073 0.336
O -0.406 -6.249 7.451
O 1.950 -3.538 3.991
O 2.061 -0.430 4.050
O 5.291 -3.254 -3.065
O 1.140 -0.578 7.357
O -3.631 -5.412 1.370
O 1.529 -7.567 5.869
O 1.302 -4.109 7.719
O 5.287 -6.443 -0.951
O 3.312 -8.722 3.020
O -4.325 -7.377 5.421
O -2.434 -7.653 2.426
O 1.694 -0.200 10.026
O 3.265 -5.457 6.197
O -1.813 -3.256 2.896
O 3.863 -2.100 6.617
O 5.190 -2.094 3.803
O -3.828 -6.955 8.094
O -1.419 -5.557 4.489
O 6.352 -4.376 4.810
O 5.541 0.055 6.950
O 0.530 -3.806 1.562
O 7.488 -0.597 4.487
O 0.960 -6.066 3.204
O 8.619 -2.865 5.559
```

Output
The symmetry is Ia-3d.


Record 12
Np2InO11 | PBE-GGA | optimized geometry

```
28
Lattice="10.428 -0.004 5.440 4.537 7.459 4.024 2.720 0.986 7.501" Properties=species:S:1:pos:R:3 pbc="T T T"
Np 11.182 6.012 8.586
Np 6.474 2.589 8.464
Np 11.727 2.776 11.083
Np 5.906 5.826 5.955
In 12.467 6.389 12.377
In 5.163 2.169 4.695
O 11.752 6.649 10.295
O 5.834 1.934 6.801
O 5.840 4.315 7.986
O 10.904 1.103 10.734
O 11.936 4.338 9.062
O 6.662 7.552 6.200
O 7.636 5.170 5.528
O 9.999 3.414 11.593
O 9.424 3.631 8.560
O 6.863 7.851 11.086
O 9.773 0.672 5.499
O 8.146 7.499 11.229
O 9.169 4.902 9.056
O 8.574 3.282 7.586
O 10.026 7.528 8.433
O 7.496 0.994 8.704
O 7.079 3.227 10.146
O 2.990 2.177 5.012
O 10.731 5.410 6.838
O 14.608 6.461 11.861
O 5.124 4.231 5.255
O 12.515 4.289 11.946
```

Output
The symmetry is Cc.


Record 13
Np2InO8 | PBE-GGA | optimized geometry

```
11
Lattice="-2.225 3.227 -1.612 -5.607 -2.503 2.731 3.783 4.340 3.468" Properties=species:S:1:pos:R:3 pbc="T T T"
Np 0.097 2.866 2.820
Np -4.147 2.199 1.768
In 3.783 4.340 3.468
O -3.017 0.559 2.587
O -1.033 4.505 2.001
O -5.723 1.071 1.633
O -0.216 1.821 1.212
O -1.137 2.736 4.316
O 1.673 3.994 2.955
O -3.834 3.244 3.376
O -2.914 2.329 0.272
```

Output
The symmetry is P-3.


Record 14
NpIn6O12 | PBE-GGA | optimized geometry

```
19
Lattice="-5.208 -2.682 -2.625 -0.477 -2.408 5.931 -2.310 5.890 1.088" Properties=species:S:1:pos:R:3 pbc="T T T"
Np 0.000 0.000 0.000
In -4.801 -1.540 3.763
In -3.643 -1.588 0.529
In -1.794 0.112 3.583
In -3.194 2.339 0.631
In -4.353 2.387 3.866
In -6.201 0.688 0.812
O -5.509 -1.220 1.780
O -3.881 0.394 4.449
O -5.164 2.281 1.771
O -2.486 2.019 2.615
O -4.114 0.406 -0.054
O -2.831 -1.482 2.623
O -1.737 -0.769 5.690
O -2.641 3.448 4.944
O -4.140 -3.712 3.518
O -6.258 1.569 -1.295
O -5.355 -2.648 -0.549
O -3.855 4.512 0.877
```

Output
The symmetry is R-3.


Record 15
NpInO4 | PBE-GGA | optimized geometry

```
6
Lattice="3.464 0.000 0.000 0.000 4.940 -0.320 0.000 0.251 4.944" Properties=species:S:1:pos:R:3 pbc="T T T"
Np 0.000 0.000 0.000
In 1.732 2.596 2.312
O 1.732 4.052 0.677
O 1.732 1.139 3.947
O 0.000 1.557 1.387
O 0.000 3.635 3.237
```

Output
The symmetry is Cmmm.


Record 16
NpPaInO6 | PBE-GGA | optimized geometry

```
18
Lattice="-1.959 -4.685 -2.353 1.482 0.013 5.397 -9.097 2.553 2.491" Properties=species:S:1:pos:R:3 pbc="T T T"
Np -3.086 -2.481 0.853
Np -6.488 0.362 4.682
Pa 0.000 0.000 0.000
Pa -4.548 1.276 1.246
In -1.939 -0.915 3.437
In -7.635 -1.204 2.099
O -1.485 -2.812 2.385
O -0.690 0.316 2.082
O -6.355 0.068 0.813
O -8.884 -2.436 3.454
O -3.529 -0.567 1.932
O -2.385 0.941 4.563
O -9.246 -0.941 0.600
O -3.219 -2.188 4.723
O -7.189 -3.060 0.972
O -0.328 -1.179 4.935
O -6.045 -1.552 3.604
O -8.089 0.693 3.150
```

Output
The symmetry is P-31c.


Record 17
NpIn2PbO8 | PBE-GGA | optimized geometry

```
12
Lattice="4.972 -0.102 -0.003 -0.076 4.971 -0.005 0.004 0.007 6.832" Properties=species:S:1:pos:R:3 pbc="T T T"
Np 0.000 0.000 0.000
In 2.451 2.440 5.116
In 2.449 2.437 1.708
Pb 0.002 0.004 3.416
O 0.896 3.994 1.578
O 3.439 3.426 6.826
O 4.001 0.879 1.579
O 4.003 0.883 5.246
O 1.461 1.451 -0.002
O 0.899 3.998 5.245
O 3.401 3.388 3.410
O 1.499 1.488 3.413
```

Output
The symmetry is Cmmm.


Record 18
NpInPb2O8 | PBE-GGA | optimized geometry

```
12
Lattice="-1.484 -3.963 -2.885 4.778 -1.824 0.285 -1.677 -3.506 5.678" Properties=species:S:1:pos:R:3 pbc="T T T"
Np 0.000 0.000 0.000
In -0.839 -1.753 2.839
Pb 0.395 -5.510 2.937
Pb 1.221 -3.783 0.141
O 3.247 -3.014 1.003
O 2.325 -4.078 -1.831
O -0.720 -4.375 -1.008
O -1.631 -6.278 2.075
O 0.969 -1.709 -0.769
O 2.336 -4.918 4.086
O 1.477 -5.816 1.015
O 0.140 -3.477 2.063
```

Output
The symmetry is Cmmm.


Record 19
PuNpInO6 | PBE-GGA | optimized geometry

```
18
Lattice="5.547 0.000 0.000 -2.774 4.804 0.000 0.000 0.000 9.860" Properties=species:S:1:pos:R:3 pbc="T T T"
Pu 0.000 0.000 0.000
Pu 0.000 0.000 4.930
Np 2.774 1.601 2.465
Np 0.000 3.203 7.395
In 0.000 3.203 2.465
In 2.774 1.601 7.395
O 1.880 3.157 1.306
O 4.567 1.597 1.306
O -0.900 4.754 6.235
O -1.794 3.207 8.554
O 0.980 1.597 3.624
O 3.667 3.157 3.624
O 0.900 4.754 8.554
O 3.674 0.050 3.624
O -0.893 1.647 6.235
O 1.873 0.050 1.306
O 1.794 3.207 6.235
O 0.893 1.647 8.554
```

Output
The symmetry is P-31c.


Number 1: energy -5.027 eV per atom. Number 2: energy -3.357 eV per atom. Number 3: energy -5.225 eV per atom. Number 4: energy -5.291 eV per atom. Number 5: energy -5.149 eV per atom. Number 6: energy -3.548 eV per atom. Number 7: energy -5.172 eV per atom. Number 8: energy -9.178 eV per atom. Number 9: energy -9.125 eV per atom. Number 10: energy -6.751 eV per atom. Number 11: energy -7.505 eV per atom. Number 12: energy -7.636 eV per atom. Number 13: energy -8.243 eV per atom. Number 14: energy -6.477 eV per atom. Number 15: energy -8.265 eV per atom. Number 16: energy -8.829 eV per atom. Number 17: energy -6.893 eV per atom. Number 18: energy -6.841 eV per atom. Number 19: energy -9.139 eV per atom.